1.
Density functional theory data (PBE) for Pr5DyHo4 after structural relaxation.

Output
- Polymorph energy (0 for the lowest one): 0 meV per atom
- Energy of formation from the pure elements: 0.0188 eV/atom
- M_tot: 0.00 μB/f.u.

a = 3.626 Å, b = 10.250 Å, c = 9.557 Å
α = 105.90°, β = 79.11°, γ = 90.04°
Fractional positions:
Ho 0.899 0.295 0.201
Ho 0.101 0.705 0.799
Ho 0.301 0.100 0.399
Ho 0.699 0.900 0.601
Pr 0.100 0.194 0.800
Pr 0.900 0.806 0.200
Pr 0.701 0.399 0.599
Pr 0.299 0.601 0.401
Pr 0.500 0.500 0.000
Dy 0.500 0.000 0.000



2.
Density functional theory data (PBE) for Pr2Dy2Ho7 after structural relaxation.

Output
- Energy of formation from the pure elements: 0.1512 eV/atom
- M_tot: 0.00 μB/f.u.

a = 6.082 Å, b = 8.054 Å, c = 8.054 Å
α = 91.56°, β = 73.61°, γ = 73.61°
Fractional positions:
Ho 0.422 0.228 0.228
Ho 0.000 0.000 0.000
Ho 0.821 0.936 0.412
Ho 0.578 0.772 0.772
Ho 0.179 0.064 0.588
Ho 0.179 0.588 0.064
Ho 0.821 0.412 0.936
Dy 0.500 0.788 0.212
Dy 0.500 0.212 0.788
Pr 0.808 0.406 0.406
Pr 0.192 0.594 0.594